# NpAl6Au3 | Alexandria via LeMat-Bulk | PBE-GGA | optimized geometry
data_NpAl6Au3
_chemical_formula_sum 'Np2 Al12 Au6'
_space_group_name_H-M_alt 'P 1'
_space_group_IT_number 1
_space_group_name_Hall 'P 1'
_cell_length_a 4.185
_cell_length_b 8.977
_cell_length_c 10.245
_cell_angle_alpha 97.83
_cell_angle_beta 90.00
_cell_angle_gamma 90.00
loop_
_atom_site_label
_atom_site_fract_x
_atom_site_fract_y
_atom_site_fract_z
Np1 0.750 0.981 0.777
Np2 0.250 0.019 0.223
Al1 0.750 0.414 0.577
Al2 0.250 0.586 0.423
Al3 0.750 0.829 0.061
Al4 0.250 0.171 0.939
Al5 0.750 0.494 0.088
Al6 0.250 0.506 0.912
Al7 0.750 0.802 0.323
Al8 0.250 0.198 0.677
Al9 0.750 0.090 0.470
Al10 0.250 0.910 0.530
Al11 0.750 0.645 0.793
Al12 0.250 0.355 0.207
Au1 0.750 0.351 0.823
Au2 0.250 0.649 0.177
Au3 0.750 0.703 0.551
Au4 0.250 0.297 0.449
Au5 0.750 0.204 0.089
Au6 0.250 0.796 0.911
# Symmetry: P2_1/m
# VASP energy (eV/f.u.): -47.4
# E_form (eV/atom): -0.216